[1]
# NdHo5Er7

An optimized crystal structure of NdHo5Er7 (PBE, Alexandria via LeMat-Bulk).

Values from the calculation:
DOS at the Fermi energy ... 1.93 states/eV/atom
DFT formation energy ... 255 meV/atom
Total magnetic moment ... 0.001 μB/cell

```
NdHo5Er7
1.0
6.649 0.000 0.000
3.325 7.956 0.173
3.325 0.148 7.957
Ho Er Nd
5 7 1
Direct
0.733 0.767 0.767
0.999 0.997 0.539
0.999 0.539 0.997
0.466 0.539 0.997
0.466 0.997 0.539
0.423 0.577 0.577
0.481 0.189 0.849
0.728 0.272 0.272
0.230 0.270 0.270
0.981 0.349 0.688
0.481 0.849 0.189
0.981 0.688 0.349
0.032 0.968 0.968
```

[2]
# TaCu3Bi

An optimized crystal structure of TaCu3Bi (PBE, Alexandria via LeMat-Bulk).

Values from the calculation:
DOS at the Fermi energy ... 1.19 states/eV/atom
DFT formation energy ... 1224 meV/atom
Polymorph energy (0 for the lowest one) ... 0.0000 eV per atom
Total magnetic moment ... 0.000 μB/cell

```
TaCu3Bi
1.0
-4.260 -1.509 -1.630
0.452 -4.041 2.559
-2.175 2.116 3.725
Cu Bi Ta
3 1 1
Direct
0.000 0.000 0.500
0.000 0.500 0.000
0.500 0.000 0.000
0.500 0.500 0.500
0.000 0.000 0.000
```

[3]
# TmNbOsRu

An optimized crystal structure of TmNbOsRu (PBE, Alexandria via LeMat-Bulk).

Values from the calculation:
DOS at the Fermi energy ... 0.46 states/eV/atom
DFT formation energy ... -354 meV/atom
Polymorph energy (0 for the lowest one) ... 0.0000 eV per atom
Total magnetic moment ... 0.000 μB/cell

```
TmNbOsRu
1.0
-2.037 2.075 -1.417
-1.251 -2.419 -1.745
-4.507 -1.140 4.810
Nb Tm Ru Os
1 1 1 1
Direct
0.500 0.500 0.107
0.500 0.500 0.609
0.000 0.000 0.878
0.000 0.000 0.334
```

[4]
# AsRuCl

An optimized crystal structure of AsRuCl (PBE, Alexandria via LeMat-Bulk).

Values from the calculation:
DOS at the Fermi energy ... 0.84 states/eV/atom
Formation energy without anion corrections ... -0.054 eV per atom
Polymorph energy (0 for the lowest one) ... 0.0848 eV per atom
Total magnetic moment ... 0.000 μB/cell

```
AsRuCl
1.0
-3.311 2.679 -1.942
-5.300 -0.961 2.069
-0.984 2.024 4.471
Cl Ru As
2 2 2
Direct
0.872 0.755 0.622
0.128 0.245 0.378
0.412 0.677 0.662
0.588 0.323 0.338
0.669 0.162 0.919
0.331 0.838 0.081
```

[5]
# Ca2Hf2Re

An optimized crystal structure of Ca2Hf2Re (PBE, Alexandria via LeMat-Bulk).

Values from the calculation:
DOS at the Fermi energy ... 1.28 states/eV/atom
DFT formation energy ... 1000 meV/atom
Polymorph energy (0 for the lowest one) ... 0.5941 eV per atom
Total magnetic moment ... 0.000 μB/cell

```
Ca2Hf2Re
1.0
3.741 0.000 0.000
0.000 3.741 0.000
1.870 1.870 8.478
Re Ca Hf
1 2 2
Direct
0.000 0.000 0.000
0.750 0.250 0.500
0.250 0.750 0.500
0.580 0.580 0.839
0.420 0.420 0.161
```

[6]
# Cs6PdAu

An optimized crystal structure of Cs6PdAu (PBE, Alexandria via LeMat-Bulk).

Values from the calculation:
DOS at the Fermi energy ... 0.82 states/eV/atom
DFT formation energy ... -47 meV/atom
Total magnetic moment ... 0.745 μB/cell

```
Cs6PdAu
1.0
8.970 0.000 0.000
-4.485 7.768 0.000
0.000 0.000 16.885
Cs Au Pd
12 2 2
Direct
0.322 0.346 0.372
0.678 0.654 0.628
0.654 0.678 0.128
0.346 0.024 0.628
0.024 0.678 0.372
0.024 0.346 0.128
0.654 0.976 0.372
0.976 0.322 0.628
0.322 0.976 0.128
0.346 0.322 0.872
0.678 0.024 0.872
0.976 0.654 0.872
0.000 0.000 0.000
0.000 0.000 0.500
0.333 0.667 0.250
0.667 0.333 0.750
```

[7]
# Ho4Mg3In

An optimized crystal structure of Ho4Mg3In (PBE, Alexandria via LeMat-Bulk).

Values from the calculation:
DOS at the Fermi energy ... 0.86 states/eV/atom
DFT formation energy ... -131 meV/atom
Polymorph energy (0 for the lowest one) ... 0.0621 eV per atom
Total magnetic moment ... 0.000 μB/cell

```
Ho4Mg3In
1.0
3.435 0.000 0.000
0.000 5.030 0.000
0.000 0.000 12.571
Mg Ho In
3 4 1
Direct
0.500 0.000 0.934
0.000 0.500 0.565
0.000 0.000 0.433
0.000 0.500 0.829
0.500 0.500 0.326
0.000 0.000 0.171
0.500 0.000 0.674
0.500 0.500 0.067
```

[8]
# CdFe2Se

An optimized crystal structure of CdFe2Se (PBE, Alexandria via LeMat-Bulk).

Values from the calculation:
DOS at the Fermi energy ... 1.18 states/eV/atom
Formation energy without anion corrections ... 0.296 eV per atom
Total magnetic moment ... 4.503 μB/cell

```
CdFe2Se
1.0
-2.310 -1.921 -0.482
1.709 -2.307 1.007
-2.185 1.077 6.174
Fe Se Cd
2 1 1
Direct
0.000 0.000 0.453
0.000 0.000 0.047
0.500 0.500 0.250
0.500 0.500 0.750
```

[9]
# Cs2Ag3Cl8

An optimized crystal structure of Cs2Ag3Cl8 (PBE, Alexandria via LeMat-Bulk).

Values from the calculation:
DOS at the Fermi energy ... 0.35 states/eV/atom
Formation energy without anion corrections ... -0.868 eV per atom
Polymorph energy (0 for the lowest one) ... 0.0000 eV per atom
Total magnetic moment ... 0.000 μB/cell

```
Cs2Ag3Cl8
1.0
-3.885 3.284 -0.071
-0.427 -0.396 5.054
9.714 11.527 1.725
Cl Cs Ag
8 2 3
Direct
0.500 0.000 0.352
0.000 0.500 0.352
0.500 0.000 0.648
0.500 0.500 0.836
0.500 0.000 0.000
0.500 0.500 0.164
0.000 0.500 0.648
0.000 0.500 0.000
0.000 0.000 0.185
0.000 0.000 0.815
0.500 0.500 0.350
0.500 0.500 0.650
0.500 0.500 0.000
```

[10]
# PrNdSm2Er

An optimized crystal structure of PrNdSm2Er (PBE, Alexandria via LeMat-Bulk).

Values from the calculation:
DOS at the Fermi energy ... 1.72 states/eV/atom
DFT formation energy ... 384 meV/atom
Total magnetic moment ... 0.000 μB/cell

```
PrNdSm2Er
1.0
7.207 0.000 0.000
0.000 8.491 0.000
0.000 -4.245 5.884
Pr Nd Er Sm
2 2 2 4
Direct
0.750 0.269 0.538
0.250 0.731 0.462
0.250 0.995 0.991
0.750 0.005 0.009
0.750 0.726 0.452
0.250 0.274 0.548
0.500 0.313 0.000
0.000 0.687 0.000
0.000 0.313 0.000
0.500 0.687 0.000
```

[11]
# LiNpGa2

An optimized crystal structure of LiNpGa2 (PBE, Alexandria via LeMat-Bulk).

Values from the calculation:
DOS at the Fermi energy ... 2.25 states/eV/atom
DFT formation energy ... -80 meV/atom
Polymorph energy (0 for the lowest one) ... 0.0601 eV per atom
Total magnetic moment ... 3.952 μB/cell

```
LiNpGa2
1.0
-4.445 1.794 -0.321
-3.531 -2.655 -1.887
-3.490 -1.711 2.823
Ga Np Li
2 1 1
Direct
0.250 0.250 0.250
0.750 0.750 0.750
0.500 0.500 0.500
0.000 0.000 0.000
```

[12]
# ScSeBr

An optimized crystal structure of ScSeBr (PBE, Alexandria via LeMat-Bulk).

Values from the calculation:
DOS at the Fermi energy ... 0.06 states/eV/atom
Formation energy without anion corrections ... -1.333 eV per atom
Total magnetic moment ... 0.000 μB/cell

```
ScSeBr
1.0
7.559 0.043 -0.039
6.619 3.352 -0.050
0.939 -0.352 3.290
Se Br Sc
1 1 1
Direct
0.722 0.722 0.278
0.956 0.956 0.044
0.323 0.323 0.677
```